Compound: EuHoZnCd
Source: Alexandria via LeMat-Bulk
Functional: PBE
Structure: relaxed

energy of formation from the pure elements = -0.27 eV/atom

abc: 5.283 5.283 5.283
angles: 60.00 60.00 60.00
Fractional coordinates of all 4 atoms:
Eu1 0.000 0.000 0.000
Ho1 0.500 0.500 0.500
Zn1 0.750 0.750 0.750
Cd1 0.250 0.250 0.250

---

Compound: SrSmRh
Source: Alexandria via LeMat-Bulk
Functional: PBE
Structure: relaxed

energy of formation from the pure elements = -0.36 eV/atom
excess energy over the best structure of this formula in the dataset = 2.0 meV/atom

abc: 7.336 7.336 7.336
angles: 151.62 151.62 40.57
Fractional coordinates of all 3 atoms:
Sr1 0.000 0.000 0.000
Sm1 0.252 0.252 0.000
Rh1 0.650 0.650 0.000

---

Compound: Tb2Te3F
Source: Alexandria via LeMat-Bulk
Functional: PBE
Structure: relaxed

raw formation energy = -1.69 eV/atom
excess energy over the best structure of this formula in the dataset = 93.0 meV/atom

abc: 8.359 8.359 10.816
angles: 113.68 113.68 33.88
Fractional coordinates of all 12 atoms:
Tb1 0.098 0.098 0.449
Tb2 0.353 0.353 0.158
Tb3 0.647 0.647 0.842
Tb4 0.902 0.902 0.551
Te1 0.141 0.141 0.003
Te2 0.282 0.282 0.383
Te3 0.437 0.437 0.741
Te4 0.563 0.563 0.259
Te5 0.718 0.718 0.617
Te6 0.859 0.859 0.997
F1 0.057 0.057 0.625
F2 0.943 0.943 0.375

---

no.,DOS at the Fermi energy (states/eV/f.u.)
1,5.31
2,2.06
3,3.39